No. 1
An optimized crystal structure of GaCo2Ru2. Source: Alexandria, functional PBE.

- mass density (kg/m³) = 9961
- symmetry = P4/mbm
- E_tot (eV/atom) = -6.91
- density of states at the Fermi level (states/eV/atom) = 1.47
- energy relative to the elements (eV per atom) = 0.25

Cell lengths 6.8880, 6.8880, 2.7387 Å; angles 90.00, 90.00, 90.00 degrees
Last column: nearest neighbours and their distance in Å.
Fractional positions:
Ru 0.1771 0.6771 0.5000  6 Co 2.42-2.48
Ru 0.6771 0.8229 0.5000  6 Co 2.42-2.48
Ru 0.8229 0.3229 0.5000  6 Co 2.42-2.48
Ru 0.3229 0.1771 0.5000  6 Co 2.42-2.48
Co 0.3822 0.8822 0.0000  1 Co 2.29, 6 Ru 2.42-2.48
Co 0.8822 0.6178 0.0000  1 Co 2.29, 6 Ru 2.42-2.48
Co 0.6178 0.1178 0.0000  1 Co 2.29, 6 Ru 2.42-2.48
Co 0.1178 0.3822 0.0000  1 Co 2.29, 6 Ru 2.42-2.48
Ga 0.0000 0.0000 0.0000  2 Ga 2.74, 4 Co 2.75, 8 Ru 2.88
Ga 0.5000 0.5000 0.0000  2 Ga 2.74, 4 Co 2.75, 8 Ru 2.88

***

No. 2
An optimized crystal structure of YbRu. Source: Alexandria, functional PBE.

- mass density (kg/m³) = 11878
- symmetry = Pm-3m
- E_tot (eV/atom) = -5.26
- density of states at the Fermi level (states/eV/atom) = 2.89
- energy relative to the elements (eV per atom) = 0.14

Cell lengths 3.3714, 3.3714, 3.3714 Å; angles 90.00, 90.00, 90.00 degrees
Last column: nearest neighbours and their distance in Å.
Fractional positions:
Yb 0.5000 0.5000 0.5000  8 Ru 2.92
Ru 0.0000 0.0000 0.0000  8 Yb 2.92

***

No. 3
An optimized crystal structure of TaAlRu2. Source: Alexandria, functional PBE.

- mass density (kg/m³) = 11210
- symmetry = R-3m
- E_tot (eV/atom) = -8.74
- density of states at the Fermi level (states/eV/atom) = 0.99
- energy relative to the elements (eV per atom) = -0.21

Cell lengths 8.6432, 8.6432, 8.6432 Å; angles 19.15, 19.15, 19.15 degrees
Last column: nearest neighbours and their distance in Å.
Fractional positions:
Ru 0.0034 0.0034 0.0034  3 Al 2.63, 3 Ta 2.76, 6 Ru 2.88
Ru 0.4966 0.4966 0.4966  3 Al 2.63, 3 Ta 2.76, 6 Ru 2.88
Al 0.7500 0.7500 0.7500  6 Ru 2.63, 6 Al 2.88
Ta 0.2500 0.2500 0.2500  6 Ru 2.76, 6 Ta 2.88

***

No. 4
An optimized crystal structure of NaAg. Source: Alexandria, functional PBE.

- mass density (kg/m³) = 5023
- symmetry = Pmmn
- E_tot (eV/atom) = -2.05
- density of states at the Fermi level (states/eV/atom) = 0.21
- energy relative to the elements (eV per atom) = 0.04

Cell lengths 3.0146, 5.5561, 15.4959 Å; angles 90.00, 90.00, 90.00 degrees
Last column: nearest neighbours and their distance in Å.
Fractional positions:
Na 0.0000 0.8835 0.6667  6 Na 3.01-3.26, 6 Ag 3.03-3.29
Na 0.5000 0.1165 0.8333  6 Na 3.01-3.26, 6 Ag 3.03-3.29
Na 0.5000 0.1165 0.1667  6 Na 3.01-3.26, 6 Ag 3.03-3.29
Na 0.0000 0.8835 0.3333  6 Na 3.01-3.26, 6 Ag 3.03-3.29
Na 0.0000 0.8844 0.0000  6 Na 3.01-3.26, 6 Ag 3.03-3.29
Na 0.5000 0.1156 0.5000  6 Na 3.01-3.26, 6 Ag 3.03-3.29
Ag 0.0000 0.5895 0.8333  6 Ag 3.01-3.15, 6 Na 3.03-3.29
Ag 0.5000 0.4105 0.6667  6 Ag 3.01-3.15, 6 Na 3.03-3.29
Ag 0.5000 0.4105 0.3333  6 Ag 3.01-3.15, 6 Na 3.03-3.29
Ag 0.0000 0.5895 0.1667  6 Ag 3.01-3.15, 6 Na 3.03-3.29
Ag 0.0000 0.5887 0.5000  6 Ag 3.01-3.15, 6 Na 3.03-3.29
Ag 0.5000 0.4113 0.0000  6 Ag 3.01-3.15, 6 Na 3.03-3.29

***

No. 5
An optimized crystal structure of Te2AsRh. Source: Alexandria, functional PBE.

- mass density (kg/m³) = 6027
- symmetry = I-42d
- E_tot (eV/atom) = -4.49
- density of states at the Fermi level (states/eV/atom) = 0.64

Cell lengths 6.2397, 6.2397, 7.5514 Å; angles 65.60, 65.60, 90.00 degrees
Last column: nearest neighbours and their distance in Å.
Fractional positions:
As 0.5000 0.5000 0.0000  4 Te 2.83
As 0.2500 0.7500 0.5000  4 Te 2.83
Te 0.6636 0.1250 0.2500  2 Rh 2.55, 2 As 2.83
Te 0.0864 0.6250 0.2500  2 Rh 2.55, 2 As 2.83
Te 0.3750 0.3364 0.7500  2 Rh 2.55, 2 As 2.83
Te 0.8750 0.9136 0.7500  2 Rh 2.55, 2 As 2.83
Rh 0.0000 0.0000 0.0000  4 Te 2.55
Rh 0.7500 0.2500 0.5000  4 Te 2.55

***

No. 6
An optimized crystal structure of RuWAu. Source: Alexandria, functional PBE.

- mass density (kg/m³) = 14301
- symmetry = F-43m
- E_tot (eV/atom) = -7.74
- density of states at the Fermi level (states/eV/atom) = 0.90
- energy relative to the elements (eV per atom) = 0.76

Cell lengths 4.2932, 4.2932, 4.2932 Å; angles 60.00, 60.00, 60.00 degrees
Last column: nearest neighbours and their distance in Å.
Fractional positions:
Au 0.5000 0.5000 0.5000  4 Ru 2.63
Ru 0.2500 0.2500 0.2500  4 W 2.63, 4 Au 2.63
W 0.0000 0.0000 0.0000  4 Ru 2.63

***

No. 7
An optimized crystal structure of RbDyAgBr5. Source: Alexandria, functional PBE.

- mass density (kg/m³) = 4102
- symmetry = C2/c
- E_tot (eV/atom) = -3.57
- density of states at the Fermi level (states/eV/atom) = 0.00

Cell lengths 8.0372, 8.0372, 10.7479 Å; angles 102.36, 102.36, 108.72 degrees
Last column: nearest neighbours and their distance in Å.
Fractional positions:
Rb 0.3445 0.6555 0.2500  5 Br 3.50-3.59
Rb 0.6555 0.3445 0.7500  5 Br 3.50-3.59
Dy 0.0000 0.0000 0.5000  6 Br 2.80-2.84
Dy 0.0000 0.0000 0.0000  6 Br 2.80-2.84
Ag 0.6898 0.3102 0.2500  4 Br 2.70-2.75
Ag 0.3102 0.6898 0.7500  4 Br 2.70-2.75
Br 0.0697 0.9303 0.2500  2 Dy 2.84
Br 0.9303 0.0697 0.7500  2 Dy 2.84
Br 0.9070 0.3024 0.0908  1 Ag 2.70, 1 Dy 2.81
Br 0.0930 0.6976 0.9092  1 Ag 2.70, 1 Dy 2.81
Br 0.6976 0.0930 0.4092  1 Ag 2.70, 1 Dy 2.81
Br 0.3024 0.9070 0.5908  1 Ag 2.70, 1 Dy 2.81
Br 0.7532 0.6349 0.4371  1 Ag 2.75, 1 Dy 2.80
Br 0.2468 0.3651 0.5629  1 Ag 2.75, 1 Dy 2.80
Br 0.3651 0.2468 0.0629  1 Ag 2.75, 1 Dy 2.80
Br 0.6349 0.7532 0.9371  1 Ag 2.75, 1 Dy 2.80

***

No. 8
An optimized crystal structure of Na2InTe4As. Source: Alexandria, functional PBE.

- mass density (kg/m³) = 5149
- symmetry = P2/m
- E_tot (eV/atom) = -3.26
- density of states at the Fermi level (states/eV/atom) = 0.19

Cell lengths 4.2818, 8.0339, 7.3523 Å; angles 72.07, 90.00, 90.00 degrees
Last column: nearest neighbours and their distance in Å.
Fractional positions:
Na 0.0000 0.0000 0.0000  6 Te 3.23-3.25
Na 0.5000 0.0000 0.5000  6 Te 3.29-3.30
In 0.0000 0.5000 0.5000  6 Te 3.00-3.01
Te 0.0000 0.7169 0.7691  2 As 2.95, 1 In 3.01, 1 Na 3.23
Te 0.0000 0.2831 0.2309  2 As 2.95, 1 In 3.01, 1 Na 3.23
Te 0.5000 0.7198 0.2542  1 As 2.94, 2 In 3.00, 3 Na 3.25-3.29
Te 0.5000 0.2802 0.7458  1 As 2.94, 2 In 3.00, 3 Na 3.25-3.29
As 0.5000 0.5000 0.0000  6 Te 2.94-2.95